1.
Material: CdSiBr
Method: DFT, GGA-PBEsol
State: relaxed

Properties
magnetic moment: 0.000 μB per cell
mass density: 5.6 g/cm3
formation energy from raw total energies: 1.158 eV per formula unit

Unit cell a=4.817 b=4.817 c=3.259 alpha=90.00 beta=90.00 gamma=120.00
Sites, in units of the cell vectors:
Cd (0.000, 0.000, 0.000)
Si (0.333, 0.667, 0.364)
Br (0.667, 0.333, 0.568)

***

2.
Material: Cd2SiBr
Method: DFT, GGA-PBEsol
State: relaxed

Properties
magnetic moment: 0.000 μB per cell
mass density: 5.4 g/cm3
formation energy from raw total energies: 0.092 eV per formula unit
offset from the most stable computed form: 24 meV per atom

Unit cell a=3.745 b=3.745 c=7.271 alpha=90.00 beta=90.00 gamma=90.00
Sites, in units of the cell vectors:
Cd (0.000, 0.000, 0.000)
Cd (0.500, 0.500, 0.405)
Si (0.000, 0.000, 0.348)
Br (0.500, 0.500, 0.815)

***

Which value of magnetic moment does entry 1 give?
0.000 μB per cell

***

What is the formula in the second record?
Cd2SiBr

***

Please write out number 1 again, unchanged.
Material: CdSiBr
Method: DFT, GGA-PBEsol
State: relaxed

Properties
magnetic moment: 0.000 μB per cell
mass density: 5.6 g/cm3
formation energy from raw total energies: 1.158 eV per formula unit

Unit cell a=4.817 b=4.817 c=3.259 alpha=90.00 beta=90.00 gamma=120.00
Sites, in units of the cell vectors:
Cd (0.000, 0.000, 0.000)
Si (0.333, 0.667, 0.364)
Br (0.667, 0.333, 0.568)